# Ti3Al2NiO

A geometry-optimized Ti3Al2NiO structure (PBE with a Hubbard U, Alexandria via LeMat-Bulk).

```
28
Lattice="0.0000 5.6885 5.6885 5.6885 0.0000 5.6885 5.6885 5.6885 0.0000" Properties=species:S:1:pos:R:3 pbc="T T T"
Ti 4.2664 4.2664 0.6729
Ti 4.2664 0.6729 4.2664
Ti 7.8598 4.2664 4.2664
Ti 7.1106 7.1106 3.5172
Ti 7.1106 3.5172 7.1106
Ti 10.7041 7.1106 7.1106
Ti 0.6729 4.2664 4.2664
Ti 4.2664 7.8598 4.2664
Ti 4.2664 4.2664 7.8598
Ti 3.5172 7.1106 7.1106
Ti 7.1106 10.7041 7.1106
Ti 7.1106 7.1106 10.7041
Al 3.3232 3.3232 3.3232
Al 5.2096 5.2096 3.3232
Al 5.2096 3.3232 5.2096
Al 8.0538 6.1674 6.1674
Al 3.3232 5.2096 5.2096
Al 6.1674 8.0538 6.1674
Al 6.1674 6.1674 8.0538
Al 8.0538 8.0538 8.0538
Ni 5.6885 2.8443 2.8443
Ni 2.8443 5.6885 2.8443
Ni 2.8443 2.8443 5.6885
Ni 5.6885 5.6885 5.6885
O 0.0000 0.0000 0.0000
O 2.8443 2.8443 0.0000
O 2.8443 0.0000 2.8443
O 0.0000 2.8443 2.8443
```

* symmetry: Fd-3m
* raw total energy: -45.3 eV/f.u.
* calculated volume: 13.15 A^3/atom
* ρ: 4.91 Mg/m³